Here is TiTl2Fe after structural relaxation from Alexandria. Energies are from PBE.

Computed properties:
* energy of formation from the pure elements: 0.54 eV/atom
* relative energy among the computed polymorphs: 0.000 eV/atom

a b c (Å): 6.609 6.609 6.609
angles (deg): 90.00 90.00 90.00
Space group Fm-3m (No. 225)
Symmetry-distinct sites (fractional):
Ti 0.000 0.000 0.000 x4
Tl 0.250 0.250 0.250 x8
Fe 0.000 0.000 0.500 x4